[1]
The following is a DFT calculation (PBEsol) of a relaxed ReP2RhO crystal.

Structure (CIF):
```
data_ReP2RhO
_space_group_name_H-M_alt 'P 4/m m m'
_space_group_IT_number 123
_space_group_name_Hall '-P 4 2'
_cell_length_a 4.661
_cell_length_b 4.661
_cell_length_c 3.614
_cell_angle_alpha 90.00
_cell_angle_beta 90.00
_cell_angle_gamma 90.00
loop_
_atom_site_label
_atom_site_type_symbol
_atom_site_fract_x
_atom_site_fract_y
_atom_site_fract_z
Re1 Re 0.000 0.000 0.000
P1 P 0.000 0.500 0.000
Rh1 Rh 0.500 0.500 0.500
O1 O 0.000 0.000 0.500
```



[2]
The following is a DFT calculation (PBEsol) of a relaxed RePRuO2 crystal.

Structure (CIF):
```
data_RePRuO2
_space_group_name_H-M_alt 'P 4/m m m'
_space_group_IT_number 123
_space_group_name_Hall '-P 4 2'
_cell_length_a 3.639
_cell_length_b 3.639
_cell_length_c 5.352
_cell_angle_alpha 90.00
_cell_angle_beta 90.00
_cell_angle_gamma 90.00
loop_
_atom_site_label
_atom_site_type_symbol
_atom_site_fract_x
_atom_site_fract_y
_atom_site_fract_z
Re1 Re 0.000 0.000 0.000
P1 P 0.500 0.500 0.000
Ru1 Ru 0.500 0.500 0.500
O1 O 0.000 0.500 0.500
```



[3]
The following is a DFT calculation (PBEsol) of a relaxed RePS2O crystal.

Structure (CIF):
```
data_RePS2O
_space_group_name_H-M_alt 'P 4/m m m'
_space_group_IT_number 123
_space_group_name_Hall '-P 4 2'
_cell_length_a 4.096
_cell_length_b 4.096
_cell_length_c 3.836
_cell_angle_alpha 90.00
_cell_angle_beta 90.00
_cell_angle_gamma 90.00
loop_
_atom_site_label
_atom_site_type_symbol
_atom_site_fract_x
_atom_site_fract_y
_atom_site_fract_z
Re1 Re 0.000 0.000 0.000
P1 P 0.500 0.500 0.000
S1 S 0.000 0.500 0.500
O1 O 0.500 0.500 0.500
```



Number 1: ΔE_f (raw) 18 kJ per mole of atoms. Number 2: ΔE_f (raw) 29 kJ per mole of atoms. Number 3: ΔE_f (raw) 87 kJ per mole of atoms.